[1]
Below is a relaxed structure of Tb2SmTh6, with properties calculated at the PBE level.

a = 3.5450 Å, b = 3.5450 Å, c = 27.0384 Å
α = 90.00°, β = 90.00°, γ = 120.00°
With the nearest neighbours (Å) after each atom.
Positions (direct):
Tb 0.0000 0.0000 0.1700  6 Tb 3.54, 6 Th 3.58-3.61
Tb 0.0000 0.0000 0.8300  6 Tb 3.54, 6 Th 3.58-3.61
Sm 0.3333 0.6667 0.5000  6 Sm 3.54, 6 Th 3.65
Th 0.0000 0.0000 0.3882  9 Th 3.54-3.57, 3 Sm 3.65
Th 0.0000 0.0000 0.6118  9 Th 3.54-3.57, 3 Sm 3.65
Th 0.3333 0.6667 0.0614  7 Th 3.32-3.54, 3 Tb 3.58
Th 0.3333 0.6667 0.2799  9 Th 3.54-3.57, 3 Tb 3.61
Th 0.3333 0.6667 0.7201  9 Th 3.54-3.57, 3 Tb 3.61
Th 0.3333 0.6667 0.9386  7 Th 3.32-3.54, 3 Tb 3.58

Calculated values
Total moment in μB per formula unit: 0.000
Space-group type: P-6m2 (187)
Calculated density in g cm⁻³: 10.50
Raw total energy in eV/atom: -6.412


[2]
Below is a relaxed structure of HfNbFeNi, with properties calculated at the PBE level.

a = 4.4125 Å, b = 4.4125 Å, c = 4.4125 Å
α = 60.00°, β = 60.00°, γ = 60.00°
With the nearest neighbours (Å) after each atom.
Positions (direct):
Hf 0.0000 0.0000 0.0000  4 Fe 2.70, 4 Ni 2.70
Nb 0.5000 0.5000 0.5000  4 Fe 2.70, 4 Ni 2.70
Fe 0.2500 0.2500 0.2500  4 Hf 2.70, 4 Nb 2.70
Ni 0.7500 0.7500 0.7500  4 Hf 2.70, 4 Nb 2.70

Calculated values
Total moment in μB per formula unit: 0.282
Space-group type: F-43m (216)
Calculated density in g cm⁻³: 10.55
Raw total energy in eV/atom: -8.748


[3]
Below is a relaxed structure of AgH3PdPt, with properties calculated at the PBE level.

a = 6.8721 Å, b = 2.8596 Å, c = 7.0410 Å
α = 90.00°, β = 92.22°, γ = 90.00°
With the nearest neighbours (Å) after each atom.
Positions (direct):
Ag 0.2157 0.2500 0.2754  2 H 2.27
Ag 0.7843 0.7500 0.7246  2 H 2.27
H 0.1786 0.2500 0.6411  1 Pt 1.74, 2 Pd 1.93
H 0.2779 0.7500 0.8821  2 Pt 1.81, 1 Pd 1.97
H 0.4560 0.7500 0.3708  3 Pd 1.88
H 0.5440 0.2500 0.6292  3 Pd 1.88
H 0.7221 0.2500 0.1179  2 Pt 1.81, 1 Pd 1.97
H 0.8214 0.7500 0.3589  1 Pt 1.74, 2 Pd 1.93
Pd 0.3657 0.7500 0.6192  6 H 1.88-1.97
Pd 0.6343 0.2500 0.3808  6 H 1.88-1.97
Pt 0.1167 0.2500 0.8784  3 H 1.74-1.81
Pt 0.8833 0.7500 0.1216  3 H 1.74-1.81

Calculated values
Total moment in μB per formula unit: 0.000
Space-group type: P2_1/m (11)
Calculated density in g cm⁻³: 9.91
Raw total energy in eV/atom: -4.020


[4]
Below is a relaxed structure of Ho4TmCuS8, with properties calculated at the PBE level.

a = 7.8632 Å, b = 7.8632 Å, c = 7.8632 Å
α = 60.16°, β = 60.16°, γ = 60.16°
With the nearest neighbours (Å) after each atom.
Positions (direct):
Ho 0.0000 0.0000 0.0000  4 S 2.58-2.59
Ho 0.3801 0.3801 0.8610  6 S 2.71-2.75
Ho 0.3801 0.8610 0.3801  6 S 2.71-2.75
Ho 0.8610 0.3801 0.3801  6 S 2.71-2.75
Tm 0.3804 0.3804 0.3804  6 S 2.70-2.73
Cu 0.7494 0.7494 0.7494  4 S 2.42-2.46
S 0.1314 0.6225 0.6225  1 Cu 2.46, 1 Tm 2.70, 2 Ho 2.71
S 0.1342 0.1342 0.1342  4 Ho 2.58-2.75
S 0.1360 0.1360 0.5977  3 Ho 2.59-2.75, 1 Tm 2.73
S 0.1360 0.5977 0.1360  3 Ho 2.59-2.75, 1 Tm 2.73
S 0.5977 0.1360 0.1360  3 Ho 2.59-2.75, 1 Tm 2.73
S 0.6225 0.1314 0.6225  1 Cu 2.46, 1 Tm 2.70, 2 Ho 2.71
S 0.6225 0.6225 0.1314  1 Cu 2.46, 1 Tm 2.70, 2 Ho 2.71
S 0.6237 0.6237 0.6237  1 Cu 2.42

Calculated values
Raw formation energy in eV per atom: -1.818
Total moment in μB per formula unit: 0.002
Space-group type: R3m (160)
Calculated density in g cm⁻³: 5.53